Entry 1:
First-principles (PBE-GGA) data for crystalline MnZn2CuSe4 at its relaxed geometry, as listed in Alexandria via LeMat-Bulk.

```
MnZn2CuSe4
1.0
-2.817 2.817 5.799
2.817 -2.817 5.799
2.817 2.817 -5.799
Mn Zn Cu Se
1 2 1 4
Cartesian
0.000 0.000 0.000 Mn
2.817 0.000 2.900 Zn
0.000 2.817 2.900 Zn
0.000 0.000 5.799 Cu
1.428 1.428 -1.427 Se
1.389 -1.389 7.226 Se
1.389 1.389 4.372 Se
-1.389 1.389 7.226 Se
```

Values from the calculation:
The energy relative to the elements, uncorrected comes out at -489 meV/atom. The value obtained for the final energy is -33.67 eV/cell. As for the total moment: 4.0 μB/cell.

---

Entry 2:
First-principles (PBE-GGA) data for crystalline RbBaSi3 at its relaxed geometry, as listed in Alexandria via LeMat-Bulk.

```
RbBaSi3
1.0
5.912 0.000 0.000
0.000 5.912 0.000
0.000 0.000 5.912
Rb Ba Si
1 1 3
Cartesian
0.000 0.000 0.000 Rb
2.956 2.956 2.956 Ba
0.000 2.956 2.956 Si
2.956 0.000 2.956 Si
2.956 2.956 0.000 Si
```

Values from the calculation:
The energy relative to the elements, uncorrected comes out at 1239 meV/atom. The value obtained for the final energy is -12.96 eV/cell. As for the total moment: 0.0 μB/cell.

---

Entry 3:
First-principles (PBE-GGA) data for crystalline Pm2AlGe2Rh5 at its relaxed geometry, as listed in Alexandria via LeMat-Bulk.

```
Pm2AlGe2Rh5
1.0
9.913 0.000 0.000
0.000 9.913 0.000
0.000 0.000 3.549
Pm Al Ge Rh
4 2 4 10
Cartesian
1.730 3.226 0.000 Pm
3.226 8.183 0.000 Pm
6.687 1.730 0.000 Pm
8.183 6.687 0.000 Pm
0.000 0.000 0.000 Al
4.957 4.957 0.000 Al
1.234 6.190 0.000 Ge
3.723 1.234 0.000 Ge
6.190 8.679 0.000 Ge
8.679 3.723 0.000 Ge
0.000 4.957 1.775 Rh
0.643 7.866 1.775 Rh
2.048 0.643 1.775 Rh
2.909 5.600 1.775 Rh
4.313 2.909 1.775 Rh
4.957 0.000 1.775 Rh
5.600 7.004 1.775 Rh
7.004 4.313 1.775 Rh
7.866 9.270 1.775 Rh
9.270 2.048 1.775 Rh
```

Values from the calculation:
The value obtained for the final energy is -134.02 eV/cell. As for the total moment: 0.0 μB/cell. Its energy of formation is -777.3 meV per atom.

---

Entry 4:
First-principles (PBE-GGA) data for crystalline Sc2PdAuC at its relaxed geometry, as listed in Alexandria via LeMat-Bulk.

```
Sc2PdAuC
1.0
5.290 0.000 0.000
0.000 5.290 0.000
0.000 0.000 3.797
Sc Pd Au C
2 1 1 1
Cartesian
0.000 2.645 0.000 Sc
2.645 0.000 0.000 Sc
0.000 0.000 1.899 Pd
2.645 2.645 0.000 Au
2.645 2.645 1.899 C
```

Values from the calculation:
The value obtained for the final energy is -27.27 eV/cell. As for the total moment: 0.0 μB/cell. Its energy of formation is 616.8 meV per atom.

---

Entry 5:
First-principles (PBE-GGA) data for crystalline Tb3Nd3SmS8 at its relaxed geometry, as listed in Alexandria via LeMat-Bulk.

```
Tb3Nd3SmS8
1.0
3.980 2.298 6.564
-3.980 2.298 6.564
0.000 -4.595 6.564
Tb Nd Sm S
3 3 1 8
Cartesian
-1.990 -1.149 6.564 Tb
-1.990 1.149 13.128 Tb
0.000 2.298 6.564 Tb
-3.980 0.000 9.846 Nd
-1.990 1.149 3.282 Nd
1.990 1.149 3.282 Nd
0.000 0.000 0.000 Sm
0.000 -2.252 8.154 S
-1.950 1.126 8.154 S
0.000 0.000 5.005 S
-1.950 -1.126 11.538 S
1.950 1.126 8.154 S
0.000 0.000 14.687 S
1.950 -1.126 11.538 S
0.000 2.252 11.538 S
```

Values from the calculation:
The energy relative to the elements, uncorrected comes out at -2050 meV/atom. The value obtained for the final energy is -96.68 eV/cell. As for the total moment: 0.0 μB/cell.

---

Entry 6:
First-principles (PBE-GGA) data for crystalline HfSc2Au at its relaxed geometry, as listed in Alexandria via LeMat-Bulk.

```
HfSc2Au
1.0
3.250 0.000 0.000
0.000 3.250 0.000
0.000 0.000 8.117
Hf Sc Au
1 2 1
Cartesian
0.000 0.000 0.000 Hf
1.625 1.625 2.204 Sc
1.625 1.625 5.914 Sc
0.000 0.000 4.059 Au
```

Values from the calculation:
The value obtained for the final energy is -27.39 eV/cell. As for the total moment: 0.0 μB/cell. Its energy of formation is -373.2 meV per atom.

---

Entry 7:
First-principles (PBE-GGA) data for crystalline KFePt at its relaxed geometry, as listed in Alexandria via LeMat-Bulk.

```
KFePt
1.0
2.906 0.000 0.000
-1.453 2.517 0.000
0.000 0.000 7.796
K Fe Pt
1 1 1
Cartesian
0.000 0.000 0.000 K
1.453 0.839 4.806 Fe
0.000 1.678 2.783 Pt
```

Values from the calculation:
The value obtained for the final energy is -13.89 eV/cell. As for the total moment: 3.1 μB/cell. Its energy of formation is 571.5 meV per atom.

---

Entry 8:
First-principles (PBE-GGA) data for crystalline TmHf2Nb at its relaxed geometry, as listed in Alexandria via LeMat-Bulk.

```
TmHf2Nb
1.0
0.000 3.543 3.543
3.543 0.000 3.543
3.543 3.543 0.000
Tm Hf Nb
1 2 1
Cartesian
0.000 0.000 0.000 Tm
1.771 1.771 1.771 Hf
5.314 5.314 5.314 Hf
3.543 3.543 3.543 Nb
```

Values from the calculation:
The value obtained for the final energy is -33.52 eV/cell. As for the total moment: 0.0 μB/cell. Its energy of formation is 231.2 meV per atom.

---

Entry 9:
First-principles (PBE-GGA) data for crystalline NdCdHg4 at its relaxed geometry, as listed in Alexandria via LeMat-Bulk.

```
NdCdHg4
1.0
7.321 -4.232 0.000
7.321 4.232 0.000
-1.220 0.000 5.100
Nd Cd Hg
2 2 8
Cartesian
2.774 0.000 0.664 Nd
10.648 0.000 4.436 Nd
6.190 0.000 1.214 Cd
7.232 0.000 3.886 Cd
4.898 2.578 2.098 Hg
7.321 2.631 0.000 Hg
8.524 2.578 3.002 Hg
4.036 0.000 3.634 Hg
9.386 0.000 1.467 Hg
4.898 -2.578 2.098 Hg
7.321 -2.631 0.000 Hg
8.524 -2.578 3.002 Hg
```

Values from the calculation:
The value obtained for the final energy is -16.00 eV/cell. As for the total moment: 0.0 μB/cell. Its energy of formation is -185.4 meV per atom.

---

Entry 10:
First-principles (PBE-GGA) data for crystalline Ce2PtN at its relaxed geometry, as listed in Alexandria via LeMat-Bulk.

```
Ce2PtN
1.0
5.959 0.000 0.000
0.000 5.647 0.000
-4.834 0.000 10.186
Ce Pt N
8 4 4
Cartesian
-0.204 1.364 0.916 Ce
-2.621 4.283 6.009 Ce
-2.156 1.650 8.622 Ce
0.261 3.996 3.528 Ce
0.865 1.650 6.658 Ce
3.281 3.996 1.565 Ce
3.746 1.364 4.177 Ce
1.329 4.283 9.270 Ce
0.771 1.179 3.663 Pt
-1.646 4.467 8.756 Pt
2.771 1.179 1.430 Pt
0.354 4.467 6.523 Pt
-2.796 1.914 6.332 N
-0.379 3.733 1.239 N
1.504 1.914 8.948 N
3.921 3.733 3.855 N
```

Values from the calculation:
The energy relative to the elements, uncorrected comes out at -1099 meV/atom. The value obtained for the final energy is -122.53 eV/cell. As for the total moment: 5.7 μB/cell.

---

Entry 11:
First-principles (PBE-GGA) data for crystalline Ta5Ag at its relaxed geometry, as listed in Alexandria via LeMat-Bulk.

```
Ta5Ag
1.0
2.339 -6.826 0.000
2.339 6.826 0.000
0.000 0.000 3.397
Ta Ag
5 1
Cartesian
0.000 0.000 0.000 Ta
2.339 4.585 1.699 Ta
2.339 2.341 0.000 Ta
2.339 -2.341 0.000 Ta
2.339 -4.585 1.699 Ta
2.339 0.000 1.699 Ag
```

Values from the calculation:
The value obtained for the final energy is -61.09 eV/cell. As for the total moment: 0.0 μB/cell. Its energy of formation is 171.0 meV per atom.

---

Entry 12:
First-principles (PBE-GGA) data for crystalline Ba2PdBr at its relaxed geometry, as listed in Alexandria via LeMat-Bulk.

```
Ba2PdBr
1.0
0.000 4.044 4.044
4.044 0.000 4.044
4.044 4.044 0.000
Ba Pd Br
2 1 1
Cartesian
2.022 2.022 2.022 Ba
6.066 6.066 6.066 Ba
0.000 0.000 0.000 Pd
4.044 4.044 4.044 Br
```

Values from the calculation:
The energy relative to the elements, uncorrected comes out at -928 meV/atom. The value obtained for the final energy is -14.42 eV/cell. As for the total moment: 0.0 μB/cell.